DFT (PBE) results for Al2GaMo after structural relaxation.

Results
ΔH_f (0 K): -6 meV/atom
Calculated density: 5.6 Mg/m³
Electronic total energy: -5.3417 eV per atom

a = 2.9193 Å, b = 2.9193 Å, c = 26.5521 Å
α = 90.00°, β = 90.00°, γ = 120.00°
Closest atoms and distances in Å follow each position.
Space group R3m (No. 160, hexagonal axes)
Inequivalent atoms, fractional coordinates:
Al (0.0000, 0.0000, 0.0000) x3  3 Mo 2.71, 3 Ga 2.87, 6 Al 2.92
Al (0.0000, 0.0000, 0.1735) x3  3 Mo 2.71, 3 Ga 2.84, 6 Al 2.92
Ga (0.0000, 0.0000, 0.4208) x3  6 Al 2.84-2.87, 6 Ga 2.92
Mo (0.0000, 0.0000, 0.5869) x3  6 Al 2.71, 6 Mo 2.92